[1]
# LaTb2SnN4 PBE optimized geometry
data_LaTb2SnN4
_space_group_name_H-M_alt 'C m c m'
_space_group_IT_number 63
_space_group_name_Hall '-C 2c 2'
_cell_length_a 3.6176
_cell_length_b 11.9213
_cell_length_c 12.1085
_cell_angle_alpha 90.00
_cell_angle_beta 90.00
_cell_angle_gamma 90.00
loop_
_atom_site_label
_atom_site_fract_x
_atom_site_fract_y
_atom_site_fract_z
_atom_site_occupancy
La1 0.0000 0.1090 0.2500 1
Tb1 0.0000 0.3711 0.0369 1
Sn1 0.0000 0.1529 0.7500 1
N1 0.0000 0.0000 0.0000 1
N2 0.0000 0.2682 0.6205 1
N3 0.0000 0.4414 0.2500 1
# Energy relative to the elements, uncorrected   -20.954 kcal/mol of atoms



[2]
# PmTmAg PBE optimized geometry
data_PmTmAg
_space_group_name_H-M_alt 'C m c m'
_space_group_IT_number 63
_space_group_name_Hall '-C 2c 2'
_cell_length_a 5.0383
_cell_length_b 12.5955
_cell_length_c 5.1573
_cell_angle_alpha 90.00
_cell_angle_beta 90.00
_cell_angle_gamma 90.00
loop_
_atom_site_label
_atom_site_fract_x
_atom_site_fract_y
_atom_site_fract_z
_atom_site_occupancy
Pm1 0.0000 0.0937 0.2500 1
Tm1 0.0000 0.3924 0.2500 1
Ag1 0.0000 0.2426 0.7500 1
# Polymorph energy (0 for the lowest one)   1.7 meV per atom



[3]
# SrS2N PBE optimized geometry
data_SrS2N
_space_group_name_H-M_alt 'R -3 m'
_space_group_IT_number 166
_space_group_name_Hall '-R 3 2"'
_cell_length_a 4.6946
_cell_length_b 4.6946
_cell_length_c 17.7544
_cell_angle_alpha 90.00
_cell_angle_beta 90.00
_cell_angle_gamma 120.00
loop_
_atom_site_label
_atom_site_fract_x
_atom_site_fract_y
_atom_site_fract_z
_atom_site_occupancy
Sr1 0.0000 0.0000 0.0000 1
S1 0.0000 0.0000 0.4102 1
N1 0.0000 0.0000 0.5000 1
# Energy relative to the elements, uncorrected   -3.437 kcal/mol of atoms
# Polymorph energy (0 for the lowest one)   0.0 meV per atom



[4]
# NiH2Os PBE optimized geometry
data_NiH2Os
_space_group_name_H-M_alt 'I -4 2 d'
_space_group_IT_number 122
_space_group_name_Hall 'I -4 2bw'
_cell_length_a 4.0193
_cell_length_b 4.0193
_cell_length_c 7.9156
_cell_angle_alpha 90.00
_cell_angle_beta 90.00
_cell_angle_gamma 90.00
loop_
_atom_site_label
_atom_site_fract_x
_atom_site_fract_y
_atom_site_fract_z
_atom_site_occupancy
Ni1 0.0000 0.0000 0.0000 1
H1 0.2146 0.2500 0.1250 1
Os1 0.0000 0.0000 0.5000 1
# Polymorph energy (0 for the lowest one)   0.0 meV per atom



[5]
# Nd2Ga2Co15 PBE optimized geometry
data_Nd2Ga2Co15
_space_group_name_H-M_alt 'R -3 m'
_space_group_IT_number 166
_space_group_name_Hall '-R 3 2"'
_cell_length_a 8.4427
_cell_length_b 8.4427
_cell_length_c 12.2946
_cell_angle_alpha 90.00
_cell_angle_beta 90.00
_cell_angle_gamma 120.00
loop_
_atom_site_label
_atom_site_fract_x
_atom_site_fract_y
_atom_site_fract_z
_atom_site_occupancy
Nd1 0.0000 0.0000 0.1489 1
Ga1 0.0000 0.0000 0.3940 1
Co1 0.0000 0.2860 0.5000 1
Co2 0.0000 0.5000 0.0000 1
Co3 0.0017 0.5008 0.3488 1
# DFT total energy   -6.51 eV/atom



[6]
# BaIn2Hg5 PBE optimized geometry
data_BaIn2Hg5
_space_group_name_H-M_alt 'I 4/m c m'
_space_group_IT_number 140
_space_group_name_Hall '-I 4 2c'
_cell_length_a 8.3299
_cell_length_b 8.3299
_cell_length_c 13.7329
_cell_angle_alpha 90.00
_cell_angle_beta 90.00
_cell_angle_gamma 90.00
loop_
_atom_site_label
_atom_site_fract_x
_atom_site_fract_y
_atom_site_fract_z
_atom_site_occupancy
Ba1 0.0000 0.0000 0.2500 1
In1 0.1637 0.3363 0.0000 1
Hg1 0.0000 0.0000 0.0000 1
Hg2 0.1332 0.3668 0.3468 1
# DFT total energy   -1.30 eV/atom



Number 1: total magnetic moment 0.000 μB per atom, N(E_F) 0.188 states/eV per atom, calculated volume 16.32 Å³/atom. Number 2: total magnetic moment 0.000 μB per atom, N(E_F) 1.187 states/eV per atom, calculated volume 27.27 Å³/atom. Number 3: total magnetic moment 0.219 μB per atom, N(E_F) 0.549 states/eV per atom, calculated volume 28.24 Å³/atom. Number 4: total magnetic moment 0.000 μB per atom, N(E_F) 0.589 states/eV per atom, calculated volume 7.99 Å³/atom. Number 5: total magnetic moment 1.098 μB per atom, N(E_F) 1.279 states/eV per atom, calculated volume 13.31 Å³/atom. Number 6: total magnetic moment 0.000 μB per atom, N(E_F) 0.470 states/eV per atom, calculated volume 29.78 Å³/atom.